AcDyZnCu | PBE | relaxed

Cell and atoms, written as POSCAR:
```
AcDyZnCu
1.0
0.000 3.705 3.705
3.705 0.000 3.705
3.705 3.705 0.000
Ac Dy Zn Cu
1 1 1 1
Direct
0.000 0.000 0.000
0.500 0.500 0.500
0.250 0.250 0.250
0.750 0.750 0.750
```

Results
Space group: F-43m
Total magnetization in Bohr magnetons per cell: 0.00
Total DFT energy (no corrections) in eV/f.u.: -14.77

TlCd2In3Pb3 | PBE | relaxed

Cell and atoms, written as POSCAR:
```
TlCd2In3Pb3
1.0
9.252 0.000 0.000
-4.626 8.012 0.000
0.000 0.000 3.492
Tl Cd In Pb
1 2 3 3
Direct
0.000 0.000 0.000
0.333 0.667 0.500
0.667 0.333 0.500
0.000 0.362 0.000
0.362 0.000 0.000
0.638 0.638 0.000
0.000 0.681 0.500
0.319 0.319 0.500
0.681 0.000 0.500
```

Results
Space group: P-62m
Total magnetization in Bohr magnetons per cell: 0.00
Total DFT energy (no corrections) in eV/f.u.: -23.09

Rb2BaTeH | PBE | relaxed

Cell and atoms, written as POSCAR:
```
Rb2BaTeH
1.0
5.499 0.000 0.000
0.000 5.499 0.000
0.000 0.000 5.765
Rb Ba Te H
2 1 1 1
Direct
0.000 0.500 0.000
0.500 0.000 0.000
0.000 0.000 0.500
0.500 0.500 0.500
0.000 0.000 0.000
```

Results
Space group: P4/mmm
Total magnetization in Bohr magnetons per cell: 0.00
Total DFT energy (no corrections) in eV/f.u.: -13.08

Re3Os4 | PBE | relaxed

Cell and atoms, written as POSCAR:
```
Re3Os4
1.0
5.617 -2.195 0.000
5.617 2.195 0.000
-1.349 0.000 4.463
Re Os
3 4
Direct
0.000 0.000 0.000
0.254 0.254 0.172
0.746 0.746 0.828
0.118 0.118 0.590
0.384 0.384 0.771
0.616 0.616 0.229
0.882 0.882 0.410
```

Results
Space group: C2/m
Energy relative to the lowest polymorph listed for this composition in meV/atom: 300.4
Total magnetization in Bohr magnetons per cell: 0.00
Total DFT energy (no corrections) in eV/f.u.: -79.64

La4BeAu | PBE | relaxed

Cell and atoms, written as POSCAR:
```
La4BeAu
1.0
0.000 4.477 4.477
4.477 0.000 4.477
4.477 4.477 0.000
La Be Au
4 1 1
Direct
0.125 0.125 0.125
0.125 0.125 0.624
0.125 0.624 0.125
0.624 0.125 0.125
0.500 0.500 0.500
0.750 0.750 0.750
```

Results
Space group: F-43m
Total magnetization in Bohr magnetons per cell: 0.00
Total DFT energy (no corrections) in eV/f.u.: -23.34

AcSiN | PBE | relaxed

Cell and atoms, written as POSCAR:
```
AcSiN
1.0
-1.991 1.991 8.761
1.991 -1.991 8.761
1.991 1.991 -8.761
Ac Si N
2 2 2
Direct
0.170 0.170 0.000
0.830 0.830 0.000
0.418 0.418 0.000
0.582 0.582 0.000
0.316 0.316 0.000
0.684 0.684 0.000
```

Results
Space group: I4/mmm
Formation energy without anion corrections in eV/atom: -0.5292
Energy relative to the lowest polymorph listed for this composition in meV/atom: 384.4
Total magnetization in Bohr magnetons per cell: 0.00
Total DFT energy (no corrections) in eV/f.u.: -19.44

RbTl2CdHg | PBE | relaxed

Cell and atoms, written as POSCAR:
```
RbTl2CdHg
1.0
5.802 0.000 0.000
0.000 5.802 0.000
0.000 0.000 5.765
Rb Tl Cd Hg
1 2 1 1
Direct
0.000 0.000 0.000
0.000 0.500 0.500
0.500 0.000 0.500
0.500 0.500 0.500
0.500 0.500 0.000
```

Results
Space group: P4/mmm
Energy relative to the lowest polymorph listed for this composition in meV/atom: 141.4
Total magnetization in Bohr magnetons per cell: 0.00
Total DFT energy (no corrections) in eV/f.u.: -6.60

BaLiRe | PBE | relaxed

Cell and atoms, written as POSCAR:
```
BaLiRe
1.0
0.000 3.515 3.515
3.515 0.000 3.515
3.515 3.515 0.000
Ba Li Re
1 1 1
Direct
0.000 0.000 0.000
0.500 0.500 0.500
0.750 0.750 0.750
```

Results
Space group: F-43m
Energy relative to the lowest polymorph listed for this composition in meV/atom: 378.2
Total magnetization in Bohr magnetons per cell: 1.99
Total DFT energy (no corrections) in eV/f.u.: -12.00

Question: Which of these has the highest total DFT energy (no corrections)?
Answer: RbTl2CdHg

Question: Look up the total magnetization of the fifth one.
Answer: 0.00 Bohr magnetons per cell

Question: Which formula does entry 7 have?
Answer: RbTl2CdHg

Question: Among the records above, which one has the highest total DFT energy (no corrections)?
Answer: RbTl2CdHg